Density functional theory data (GGA-PBE) for a relaxed KThTe3Au crystal.

Values from the calculation:
* electronic total energy: -4.54 eV per atom
* space group: Cmcm
* M_tot: 0.00 μB per formula unit

Structure (extended XYZ):
```
12
Lattice="2.238 -8.019 0.000 2.238 8.019 0.000 0.000 0.000 11.600" Properties=species:S:1:pos:R:3 pbc="T T T"
K 2.238 4.124 8.700
K 2.238 -4.124 2.900
Th 0.000 0.000 0.000
Th 0.000 0.000 5.800
Te 2.238 6.792 2.900
Te 2.238 2.143 0.627
Te 2.238 2.143 5.173
Te 2.238 -2.143 6.427
Te 2.238 -2.143 10.973
Te 2.238 -6.792 8.700
Au 2.238 0.527 2.900
Au 2.238 -0.527 8.700
```